Computed, not measured: an optimized crystal structure of V3Zn2O8 at the PBE+U level of DFT.

Unit cell a=5.9300 b=5.9300 c=5.9300 alpha=60.37 beta=60.37 gamma=60.37
Last column: magnetic moment on the atom in μB.
Element x y z (fractional)
V  0.0000  0.0000  0.5000  1.06
V  0.5000  0.0000  0.0000  1.06
V  0.0000  0.5000  0.0000  1.06
Zn  0.6180  0.6180  0.6180  0.01
Zn  0.3820  0.3820  0.3820  0.01
O  0.2435  0.2435  0.2435  -0.02
O  0.7565  0.7565  0.7565  -0.02
O  0.2551  0.7871  0.2551  -0.04
O  0.7449  0.2129  0.7449  -0.04
O  0.7449  0.7449  0.2129  -0.04
O  0.2129  0.7449  0.7449  -0.04
O  0.7871  0.2551  0.2551  -0.04
O  0.2551  0.2551  0.7871  -0.04

Properties
Excess energy over the best structure of this formula in the dataset   30 meV per atom
Total magnetic moment   3.00 μB/f.u.
E   -6.744 eV/atom